No. 1
# TbNd6Y2Tm

Crystalline TbNd6Y2Tm at its relaxed geometry (GGA-PBE, Alexandria).

Total magnetic moment: 0.00 μB per formula unit
Formation energy: 118.0 meV/atom

Unit cell a=9.5822 b=8.9864 c=8.9864 alpha=117.24 beta=93.34 gamma=93.34
Positions (direct):
Tb 0.2500 0.9696 0.0304
Tb 0.7500 0.0304 0.9696
Nd 0.0561 0.1169 0.7642
Nd 0.4439 0.2358 0.8831
Nd 0.9439 0.8831 0.2358
Nd 0.5561 0.7642 0.1169
Nd 0.3110 0.9935 0.4372
Nd 0.1890 0.5628 0.0065
Nd 0.6890 0.0065 0.5628
Nd 0.8110 0.4372 0.9935
Nd 0.1161 0.7078 0.4839
Nd 0.3839 0.5161 0.2922
Nd 0.8839 0.2922 0.5161
Nd 0.6161 0.4839 0.7078
Y 0.4520 0.7968 0.7013
Y 0.0480 0.2987 0.2032
Y 0.5480 0.2032 0.2987
Y 0.9520 0.7013 0.7968
Tm 0.2500 0.4122 0.5878
Tm 0.7500 0.5878 0.4122



No. 2
# ScCuBr6

Crystalline ScCuBr6 at its relaxed geometry (GGA-PBE, Alexandria).

Total magnetic moment: 0.00 μB per formula unit
ΔE_f (raw): -848 meV per atom

Unit cell a=8.3568 b=9.0242 c=6.9976 alpha=59.86 beta=60.73 gamma=38.29
Positions (direct):
Sc 0.5000 0.5000 0.5000
Cu 0.0000 0.0000 0.0000
Br 0.1275 0.5357 0.6574
Br 0.7160 0.1023 0.8515
Br 0.6347 0.2210 0.2865
Br 0.2840 0.8977 0.1485
Br 0.8725 0.4643 0.3426
Br 0.3653 0.7790 0.7135



No. 3
# Tl2SiPb

Crystalline Tl2SiPb at its relaxed geometry (GGA-PBE, Alexandria).

Total magnetic moment: 0.00 μB per formula unit
Relative energy among the computed polymorphs: 69 meV per atom
ΔE_f (raw): 341 meV per atom

Unit cell a=5.6323 b=5.6323 c=5.6323 alpha=126.96 beta=126.96 gamma=78.31
Positions (direct):
Pb 0.5000 0.5000 0.0000
Si 0.7500 0.2500 0.5000
Tl 0.0000 0.0000 0.0000
Tl 0.2500 0.7500 0.5000



No. 4
# KPm2Ho

Crystalline KPm2Ho at its relaxed geometry (GGA-PBE, Alexandria).

Total magnetic moment: 0.00 μB per formula unit
Formation energy: 199.7 meV/atom

Unit cell a=3.6341 b=3.6341 c=13.5258 alpha=82.28 beta=82.28 gamma=60.00
Positions (direct):
K 0.0000 0.0000 0.0000
Ho 0.5000 0.5000 0.5000
Pm 0.0959 0.0959 0.7124
Pm 0.9041 0.9041 0.2876



No. 5
# NaAlB

Crystalline NaAlB at its relaxed geometry (GGA-PBE, Alexandria).

Total magnetic moment: 0.00 μB per formula unit
Formation energy: 171.2 meV/atom

Unit cell a=3.0595 b=3.6581 c=11.0580 alpha=97.51 beta=90.39 gamma=113.90
Positions (direct):
Na 0.2519 0.1161 0.4529
Na 0.5636 0.7776 0.7388
B 0.1580 0.9610 0.1284
B 0.6409 0.9293 0.0634
Al 0.3156 0.2977 0.9683
Al 0.8818 0.4208 0.2234



No. 6
# TbAlRu

Crystalline TbAlRu at its relaxed geometry (GGA-PBE, Alexandria).

Total magnetic moment: 0.00 μB per formula unit
Formation energy: -432.7 meV/atom

Unit cell a=3.6638 b=4.3515 c=4.3515 alpha=120.00 beta=90.00 gamma=90.00
Positions (direct):
Ru 0.1664 0.3333 0.6667
Tb 0.6667 0.6667 0.3333
Al 0.1669 0.0000 0.0000



No. 7
# Hf2V3Os

Crystalline Hf2V3Os at its relaxed geometry (GGA-PBE, Alexandria).

Total magnetic moment: 0.00 μB per formula unit
Formation energy: -360.3 meV/atom

Unit cell a=5.1873 b=5.1873 c=5.1681 alpha=89.95 beta=120.13 gamma=120.05
Positions (direct):
Hf 0.7498 0.3749 0.1247
Hf 0.2502 0.6251 0.8753
V 0.5000 0.5000 0.5000
V 0.0000 0.0000 0.5000
V 0.5000 0.0000 0.5000
Os 0.0000 0.0000 0.0000



No. 8
# HfInI2N

Crystalline HfInI2N at its relaxed geometry (GGA-PBE, Alexandria).

Total magnetic moment: 0.07 μB per formula unit
Relative energy among the computed polymorphs: 0 meV per atom
ΔE_f (raw): -343 meV per atom

Unit cell a=6.0294 b=6.0294 c=4.0329 alpha=90.00 beta=90.00 gamma=90.00
Site moments in Bohr magnetons follow the coordinates.
Positions (direct):
I 0.0000 0.5000 0.0000  0.00
I 0.5000 0.0000 0.0000  0.00
N 0.0000 0.0000 0.5000  0.05
Hf 0.0000 0.0000 0.0000  0.02
In 0.5000 0.5000 0.5000  0.00



No. 9
# Ba3LiCa

Crystalline Ba3LiCa at its relaxed geometry (GGA-PBE, Alexandria).

Total magnetic moment: 0.00 μB per formula unit
Formation energy: 219.0 meV/atom
Relative energy among the computed polymorphs: 166 meV per atom

Unit cell a=6.5751 b=6.5751 c=6.5751 alpha=90.00 beta=90.00 gamma=90.00
Positions (direct):
Ca 0.5000 0.5000 0.5000
Ba 0.0000 0.5000 0.0000
Ba 0.0000 0.0000 0.5000
Ba 0.5000 0.0000 0.0000
Li 0.0000 0.0000 0.0000



No. 10
# Ac4CuRe3N12

Crystalline Ac4CuRe3N12 at its relaxed geometry (GGA-PBE, Alexandria).

Total magnetic moment: 0.00 μB per formula unit
ΔE_f (raw): -447 meV per atom

Unit cell a=6.9701 b=6.9701 c=6.9701 alpha=109.47 beta=109.47 gamma=109.47
Positions (direct):
Ac 0.5000 0.5000 0.5000
Ac 0.0000 0.0000 0.5000
Ac 0.5000 0.0000 0.0000
Ac 0.0000 0.5000 0.0000
Cu 0.0000 0.0000 0.0000
Re 0.5000 0.0000 0.5000
Re 0.5000 0.5000 0.0000
Re 0.0000 0.5000 0.5000
N 0.2500 0.5000 0.7500
N 0.7407 0.0000 0.7407
N 0.2593 0.0000 0.2593
N 0.7500 0.5000 0.2500
N 0.7407 0.7407 0.0000
N 0.2593 0.2593 0.0000
N 0.7500 0.2500 0.5000
N 0.2500 0.7500 0.5000
N 0.5000 0.2500 0.7500
N 0.0000 0.7407 0.7407
N 0.5000 0.7500 0.2500
N 0.0000 0.2593 0.2593



No. 11
# Dy7Th2

Crystalline Dy7Th2 at its relaxed geometry (GGA-PBE, Alexandria).

Total magnetic moment: 0.00 μB per formula unit
Formation energy: 29.4 meV/atom

Unit cell a=6.1555 b=6.1555 c=8.7009 alpha=90.00 beta=90.00 gamma=120.00
Positions (direct):
Dy 0.0000 0.0000 0.0000
Dy 0.6640 0.0000 0.3301
Dy 0.0000 0.6640 0.3301
Dy 0.3360 0.3360 0.3301
Dy 0.0000 0.3360 0.6699
Dy 0.3360 0.0000 0.6699
Dy 0.6640 0.6640 0.6699
Th 0.3333 0.6667 0.0000
Th 0.6667 0.3333 0.0000



No. 12
# Ce2AsO

Crystalline Ce2AsO at its relaxed geometry (GGA-PBE, Alexandria).

Total magnetic moment: 1.87 μB per formula unit
Relative energy among the computed polymorphs: 252 meV per atom
ΔE_f (raw): -1764 meV per atom

Unit cell a=3.7679 b=3.7679 c=7.2408 alpha=74.92 beta=74.92 gamma=60.00
Site moments in Bohr magnetons follow the coordinates.
Positions (direct):
Ce 0.0925 0.0925 0.7226  0.68
Ce 0.2442 0.2442 0.2673  0.89
As 0.6686 0.6686 0.9943  -0.03
O 0.4947 0.4947 0.5158  -0.03



No. 13
# Pr2CuNi3As4

Crystalline Pr2CuNi3As4 at its relaxed geometry (GGA-PBE, Alexandria).

Total magnetic moment: 0.00 μB per formula unit
Formation energy: -785.9 meV/atom

Unit cell a=4.2494 b=4.2494 c=9.5843 alpha=90.00 beta=90.00 gamma=90.00
Positions (direct):
Pr 0.5000 0.0000 0.2498
Pr 0.0000 0.5000 0.7502
Cu 0.5000 0.5000 0.5000
Ni 0.0000 0.0000 0.5000
Ni 0.5000 0.0000 0.8841
Ni 0.0000 0.5000 0.1159
As 0.5000 0.5000 0.0000
As 0.0000 0.0000 0.0000
As 0.5000 0.0000 0.6331
As 0.0000 0.5000 0.3669



No. 14
# CuAgAs2

Crystalline CuAgAs2 at its relaxed geometry (GGA-PBE, Alexandria).

Total magnetic moment: 0.00 μB per formula unit
Formation energy: 267.8 meV/atom
Relative energy among the computed polymorphs: 109 meV per atom

Unit cell a=4.1366 b=4.1372 c=4.0646 alpha=90.00 beta=90.00 gamma=90.00
Positions (direct):
Ag 0.0000 0.5000 0.5000
As 0.0000 0.0000 0.0000
As 0.5000 0.5000 0.0000
Cu 0.5000 0.0000 0.5000



No. 15
# TiZnBS2

Crystalline TiZnBS2 at its relaxed geometry (GGA-PBE, Alexandria).

Total magnetic moment: 0.00 μB per formula unit
ΔE_f (raw): 706 meV per atom

Unit cell a=4.6348 b=5.0806 c=4.6348 alpha=90.00 beta=90.00 gamma=90.00
Positions (direct):
Zn 0.0000 0.5000 0.0000
B 0.5000 0.5000 0.5000
S 0.0000 0.0000 0.5000
S 0.5000 0.0000 0.0000
Ti 0.0000 0.0000 0.0000



No. 16
# TaTc2Pb

Crystalline TaTc2Pb at its relaxed geometry (GGA-PBE, Alexandria).

Total magnetic moment: 0.00 μB per formula unit
Formation energy: 500.8 meV/atom

Unit cell a=9.7677 b=9.7677 c=9.7677 alpha=17.42 beta=17.42 gamma=17.42
Positions (direct):
Pb 0.5034 0.5034 0.5034
Ta 0.7432 0.7432 0.7432
Tc 0.9945 0.9945 0.9945
Tc 0.2589 0.2589 0.2589



No. 17
# TaCu2Sb

Crystalline TaCu2Sb at its relaxed geometry (GGA-PBE, Alexandria).

Total magnetic moment: 0.00 μB per formula unit
ΔE_f (raw): 151 meV per atom

Unit cell a=4.0297 b=4.0270 c=3.9482 alpha=90.00 beta=90.00 gamma=90.00
Positions (direct):
Cu 0.0000 0.0000 0.0000
Cu 0.5000 0.5000 0.0000
Sb 0.5000 0.0000 0.5000
Ta 0.0000 0.5000 0.5000



No. 18
# La6NdCd

Crystalline La6NdCd at its relaxed geometry (GGA-PBE, Alexandria).

Total magnetic moment: 0.00 μB per formula unit
Formation energy: -52.2 meV/atom
Relative energy among the computed polymorphs: 6 meV per atom

Unit cell a=8.1066 b=8.8824 c=6.3283 alpha=61.61 beta=74.89 gamma=43.40
Positions (direct):
La 0.2431 0.2393 0.7587
La 0.8822 0.8805 0.6195
La 0.3806 0.3821 0.1183
La 0.1178 0.1195 0.3805
La 0.7569 0.7607 0.2413
La 0.6194 0.6179 0.8817
Nd 0.5000 0.5000 0.5000
Cd 0.0000 0.0000 0.0000



No. 19
# NaLaSe

Crystalline NaLaSe at its relaxed geometry (GGA-PBE, Alexandria).

Total magnetic moment: 0.81 μB per formula unit
ΔE_f (raw): -980 meV per atom

Unit cell a=4.2004 b=4.2049 c=13.8414 alpha=98.15 beta=90.00 gamma=119.96
Site moments in Bohr magnetons follow the coordinates.
Positions (direct):
Se 0.9098 0.8196 0.7508  0.01
Se 0.0902 0.1804 0.2492  0.01
Na 0.3852 0.7704 0.1277  0.00
Na 0.6148 0.2296 0.8723  0.00
La 0.7979 0.5958 0.3812  0.30
La 0.2021 0.4042 0.6188  0.30



No. 20
# Ce2Pu2Ge4Os

Crystalline Ce2Pu2Ge4Os at its relaxed geometry (GGA-PBE, Alexandria).

Total magnetic moment: 12.02 μB per formula unit
Formation energy: -345.4 meV/atom

Unit cell a=6.4879 b=6.4879 c=6.4879 alpha=101.70 beta=113.49 gamma=113.49
Site moments in Bohr magnetons follow the coordinates.
Positions (direct):
Ce 0.5000 0.7500 0.2500  0.80
Ce 0.5000 0.2500 0.7500  0.80
Pu 0.0000 0.6774 0.6774  5.17
Pu 0.0000 0.3226 0.3226  5.17
Ge 0.0000 0.7536 0.2464  -0.05
Ge 0.5073 0.7536 0.7536  -0.05
Ge 0.0000 0.2464 0.7536  -0.05
Ge 0.4927 0.2464 0.2464  -0.05
Os 0.0000 0.0000 0.0000  -0.36



No. 21
# La3Nd2ScSe6

Crystalline La3Nd2ScSe6 at its relaxed geometry (GGA-PBE, Alexandria).

Total magnetic moment: 0.00 μB per formula unit
ΔE_f (raw): -1860 meV per atom

Unit cell a=4.2057 b=8.4762 c=9.4094 alpha=102.83 beta=102.91 gamma=90.00
Positions (direct):
La 0.5000 0.5000 0.0000
La 0.8290 0.1645 0.6580
La 0.1710 0.8355 0.3420
Nd 0.8335 0.6667 0.6671
Nd 0.1665 0.3333 0.3329
Sc 0.5000 0.0000 0.0000
Se 0.3439 0.9191 0.6878
Se 0.6674 0.5807 0.3349
Se 0.6561 0.0809 0.3122
Se 0.9988 0.2275 0.9976
Se 0.0012 0.7725 0.0024
Se 0.3326 0.4193 0.6651



No. 22
# LiAc3Pb3

Crystalline LiAc3Pb3 at its relaxed geometry (GGA-PBE, Alexandria).

Total magnetic moment: 0.00 μB per formula unit
Formation energy: -272.1 meV/atom
Relative energy among the computed polymorphs: 244 meV per atom

Unit cell a=6.7423 b=10.0336 c=10.0336 alpha=120.00 beta=90.00 gamma=90.00
Positions (direct):
Li 0.2500 0.6667 0.3333
Li 0.7500 0.3333 0.6667
Ac 0.7500 0.7016 0.6546
Ac 0.7500 0.3454 0.0470
Ac 0.7500 0.9530 0.2984
Ac 0.2500 0.2984 0.3454
Ac 0.2500 0.6546 0.9530
Ac 0.2500 0.0470 0.7016
Pb 0.2500 0.6720 0.6255
Pb 0.2500 0.3745 0.0465
Pb 0.2500 0.9535 0.3280
Pb 0.7500 0.3280 0.3745
Pb 0.7500 0.6255 0.9535
Pb 0.7500 0.0465 0.6720



No. 23
# CeTm3Co8

Crystalline CeTm3Co8 at its relaxed geometry (GGA-PBE, Alexandria).

Total magnetic moment: 6.56 μB per formula unit
Formation energy: -245.5 meV/atom

Unit cell a=5.0227 b=5.0227 c=8.7183 alpha=73.26 beta=73.26 gamma=60.00
Site moments in Bohr magnetons follow the coordinates.
Positions (direct):
Ce 0.8749 0.8749 0.3753  -0.65
Tm 0.3751 0.3751 0.8746  -0.33
Tm 0.0000 0.0000 0.0000  -0.33
Tm 0.4999 0.4999 0.5003  -0.34
Co 0.9394 0.4378 0.1849  1.02
Co 0.4338 0.9380 0.6902  1.10
Co 0.4378 0.4378 0.1849  1.02
Co 0.9380 0.9380 0.6902  1.10
Co 0.1874 0.1874 0.4378  1.00
Co 0.6877 0.6877 0.9369  1.10
Co 0.4378 0.9394 0.1849  1.02
Co 0.9380 0.4338 0.6902  1.10



No. 24
# Ho5Ga2Te2

Crystalline Ho5Ga2Te2 at its relaxed geometry (GGA-PBE, Alexandria).

Total magnetic moment: 0.05 μB per formula unit
ΔE_f (raw): -900 meV per atom

Unit cell a=7.8387 b=7.8703 c=8.5926 alpha=90.00 beta=62.86 gamma=90.00
Positions (direct):
Ho 0.0000 0.0000 0.0000
Ho 0.5000 0.5000 0.0000
Ho 0.4598 0.1682 0.7450
Ho 0.7952 0.8318 0.7450
Ho 0.2952 0.6682 0.7450
Ho 0.9598 0.3318 0.7450
Ho 0.5402 0.8318 0.2550
Ho 0.2048 0.1682 0.2550
Ho 0.7048 0.3318 0.2550
Ho 0.0402 0.6682 0.2550
Ga 0.1277 0.3743 0.0000
Ga 0.8723 0.6257 0.0000
Ga 0.3723 0.8743 0.0000
Ga 0.6277 0.1257 0.0000
Te 0.2055 0.0000 0.5889
Te 0.7055 0.5000 0.5889
Te 0.7945 0.0000 0.4111
Te 0.2945 0.5000 0.4111